(1)
Entry from Alexandria: CsGaAu2 after structural relaxation (PBE).

It has space group R-3m (No. 166, hexagonal axes), with a = 4.6989 Å, b = 4.6989 Å, c = 19.5585 Å, α = 90.00°, β = 90.00° and γ = 120.00°. The distinct sites, in fractional coordinates, are Cs at (0.0000, 0.0000, 0.0000), Ga at (0.0000, 0.0000, 0.5000) and Au at (0.0000, 0.0000, 0.1839).

The calculation puts the total energy at -2.871 eV per atom.


(2)
Entry from Alexandria: Cs3Ga2Au4 after structural relaxation (PBE).

It has space group C2/m (No. 12), with a = 13.605 Å, b = 4.527 Å, c = 10.322 Å, α = 90.00°, β = 99.14° and γ = 90.00°. The distinct sites, in fractional coordinates, are Cs at (0.000, 0.000, 0.000), Cs at (0.111, 0.500, 0.391), Ga at (0.210, 0.500, 0.797), Au at (0.123, 0.000, 0.696) and Au at (0.228, 0.500, 0.071).

Its excess energy over the best structure of this formula in the dataset is 0.0243 eV per atom. The calculation puts the total energy at -2.661 eV per atom.


(3)
Entry from Alexandria: CsGa4Au4 after structural relaxation (PBE).

It has space group I4/m (No. 87), with a = 9.223 Å, b = 9.223 Å, c = 4.873 Å, α = 90.00°, β = 90.00° and γ = 90.00°. The distinct sites, in fractional coordinates, are Cs at (0.000, 0.000, 0.000), Ga at (0.106, 0.619, 0.500) and Au at (0.170, 0.306, 0.500).

The calculation puts the total energy at -3.200 eV per atom.


(4)
Entry from Alexandria: Cs3Ga2Au5 after structural relaxation (PBE).

It has space group Ibam (No. 72), with a = 8.767 Å, b = 20.219 Å, c = 8.133 Å, α = 90.00°, β = 90.00° and γ = 90.00°. The distinct sites, in fractional coordinates, are Cs at (0.000, 0.000, 0.250), Cs at (0.158, 0.348, 0.000), Ga at (0.163, 0.160, 0.000), Au at (0.000, 0.187, 0.250), Au at (0.000, 0.500, 0.250) and Au at (0.174, 0.442, 0.500).

The calculation puts the total energy at -2.714 eV per atom.


(5)
Entry from Alexandria: CsGa4Au6 after structural relaxation (PBE).

It has space group P1 (No. 1), with a = 6.906 Å, b = 6.908 Å, c = 6.952 Å, α = 116.70°, β = 116.77° and γ = 93.72°. The distinct sites, in fractional coordinates, are Cs at (0.000, 0.000, 0.000), Ga at (0.113, 0.500, 0.951), Ga at (0.469, 0.469, 0.590), Ga at (0.502, 0.115, 0.955), Ga at (0.851, 0.851, 0.380), Au at (0.001, 0.520, 0.499), Au at (0.204, 0.203, 0.639), Au at (0.452, 0.764, 0.983), Au at (0.521, 0.523, 0.281), Au at (0.522, 0.003, 0.499) and Au at (0.764, 0.452, 0.983).

The calculation puts the total energy at -3.120 eV per atom.


(6)
Entry from Alexandria: CsGa3Au3 after structural relaxation (PBE).

It has space group R-3 (No. 148, hexagonal axes), with a = 7.1090 Å, b = 7.1090 Å, c = 26.6501 Å, α = 90.00°, β = 90.00° and γ = 120.00°. The distinct sites, in fractional coordinates, are Cs at (0.0000, 0.0000, 0.1655), Ga at (0.0038, 0.4177, 0.3779) and Au at (0.0025, 0.2351, 0.6094).

Its excess energy over the best structure of this formula in the dataset is 0.0104 eV per atom. The calculation puts the total energy at -3.042 eV per atom.


(7)
Entry from Alexandria: CsGaAu3 after structural relaxation (PBE).

It has space group Pm-3m (No. 221), with a = 5.187 Å, b = 5.187 Å, c = 5.187 Å, α = 90.00°, β = 90.00° and γ = 90.00°. The distinct sites, in fractional coordinates, are Cs at (0.000, 0.000, 0.000), Ga at (0.500, 0.500, 0.500) and Au at (0.000, 0.500, 0.500).

Its excess energy over the best structure of this formula in the dataset is 0.0483 eV per atom. The calculation puts the total energy at -2.883 eV per atom.


(8)
Entry from Alexandria: CsGa3Au after structural relaxation (PBE).

It has space group C2/m (No. 12), with a = 10.112 Å, b = 6.945 Å, c = 9.217 Å, α = 90.00°, β = 117.86° and γ = 90.00°. The distinct sites, in fractional coordinates, are Cs at (0.125, 0.000, 0.228), Ga at (0.000, 0.294, 0.500), Ga at (0.151, 0.500, 0.028), Ga at (0.185, 0.000, 0.654) and Au at (0.034, 0.500, 0.279).

Its excess energy over the best structure of this formula in the dataset is 0.0491 eV per atom. The calculation puts the total energy at -2.751 eV per atom.


(9)
Entry from Alexandria: CsGa3Au3 after structural relaxation (PBE).

It has space group R-3 (No. 148, hexagonal axes), with a = 9.9010 Å, b = 9.9010 Å, c = 14.0626 Å, α = 90.00°, β = 90.00° and γ = 120.00°. The distinct sites, in fractional coordinates, are Cs at (0.0000, 0.0000, 0.1637), Ga at (0.0152, 0.2449, 0.5611) and Au at (0.0084, 0.2648, 0.3769).

Its excess energy over the best structure of this formula in the dataset is 0.0000 eV per atom. The calculation puts the total energy at -3.053 eV per atom.


(10)
Entry from Alexandria: Cs2GaAu6 after structural relaxation (PBE).

It has space group P-3m1 (No. 164), with a = 7.1326 Å, b = 7.1326 Å, c = 6.8668 Å, α = 90.00°, β = 90.00° and γ = 120.00°. The distinct sites, in fractional coordinates, are Cs at (0.3333, 0.6667, 0.1204), Ga at (0.0000, 0.0000, 0.5000) and Au at (0.2047, 0.4094, 0.5950).

The calculation puts the total energy at -2.914 eV per atom.


(11)
Entry from Alexandria: Cs2GaAu3 after structural relaxation (PBE).

It has space group Immm (No. 71), with a = 4.697 Å, b = 6.415 Å, c = 14.126 Å, α = 90.00°, β = 90.00° and γ = 90.00°. The distinct sites, in fractional coordinates, are Cs at (0.000, 0.000, 0.186), Ga at (0.000, 0.000, 0.500), Au at (0.000, 0.500, 0.100) and Au at (0.000, 0.500, 0.500).

The calculation puts the total energy at -2.541 eV per atom.


(12)
Entry from Alexandria: Cs12Ga3Au5 after structural relaxation (PBE).

It has space group Ia-3d (No. 230), with a = 21.896 Å, b = 21.896 Å, c = 21.896 Å, α = 90.00°, β = 90.00° and γ = 90.00°. The distinct sites, in fractional coordinates, are Cs at (0.020, 0.066, 0.653), Ga at (0.000, 0.250, 0.125), Au at (0.000, 0.000, 0.000) and Au at (0.000, 0.250, 0.375).

The calculation puts the total energy at -1.805 eV per atom.


What did the tenth record say?
Entry from Alexandria: Cs2GaAu6 after structural relaxation (PBE).

It has space group P-3m1 (No. 164), with a = 7.1326 Å, b = 7.1326 Å, c = 6.8668 Å, α = 90.00°, β = 90.00° and γ = 120.00°. The distinct sites, in fractional coordinates, are Cs at (0.3333, 0.6667, 0.1204), Ga at (0.0000, 0.0000, 0.5000) and Au at (0.2047, 0.4094, 0.5950).

The calculation puts the total energy at -2.914 eV per atom.